[1]
Entry from Alexandria via LeMat-Bulk: a relaxed UNbV2 crystal (PBE-GGA).

Cell: 4.543 4.543 4.543 Å, 60.00 60.00 60.00°
Element x y z (fractional)
Nb (0.500, 0.500, 0.500)
U (0.000, 0.000, 0.000)
V (0.250, 0.250, 0.250)
V (0.750, 0.750, 0.750)

Output
SG = Fm-3m, No. 225
Crystal system = cubic
E above lowest polymorph = 0 meV/atom
Raw total energy = -38.9 eV/cell
Energy of formation from the pure elements = 177 meV per atom

=====

[2]
Entry from Alexandria via LeMat-Bulk: a relaxed UNb2V crystal (PBE-GGA).

Cell: 4.639 4.639 4.639 Å, 60.00 60.00 60.00°
Element x y z (fractional)
Nb (0.250, 0.250, 0.250)
Nb (0.750, 0.750, 0.750)
U (0.000, 0.000, 0.000)
V (0.500, 0.500, 0.500)

Output
SG = Fm-3m, No. 225
Crystal system = cubic
E above lowest polymorph = 0 meV/atom
Raw total energy = -40.1 eV/cell
Energy of formation from the pure elements = 122 meV per atom

=====

[3]
Entry from Alexandria via LeMat-Bulk: a relaxed UNbV2 crystal (PBE-GGA).

Cell: 3.215 3.215 6.390 Å, 90.00 90.00 90.00°
Element x y z (fractional)
Nb (0.500, 0.500, 0.500)
U (0.500, 0.500, 0.000)
V (0.000, 0.000, 0.759)
V (0.000, 0.000, 0.241)

Output
SG = P4/mmm, No. 123
Crystal system = tetragonal
E above lowest polymorph = 32 meV/atom
Raw total energy = -38.8 eV/cell
Energy of formation from the pure elements = 208 meV per atom

=====

[4]
Entry from Alexandria via LeMat-Bulk: a relaxed UNb2V crystal (PBE-GGA).

Cell: 3.332 3.332 6.438 Å, 90.00 90.00 90.00°
Element x y z (fractional)
Nb (0.000, 0.000, 0.758)
Nb (0.000, 0.000, 0.242)
U (0.500, 0.500, 0.500)
V (0.500, 0.500, 0.000)

Output
SG = P4/mmm, No. 123
Crystal system = tetragonal
E above lowest polymorph = 104 meV/atom
Raw total energy = -39.6 eV/cell
Energy of formation from the pure elements = 226 meV per atom

=====

[5]
Entry from Alexandria via LeMat-Bulk: a relaxed UNbV2 crystal (PBE-GGA).

Cell: 2.789 2.789 10.523 Å, 82.39 82.39 60.00°
Element x y z (fractional)
Nb (0.000, 0.000, 0.000)
U (0.500, 0.500, 0.500)
V (0.082, 0.082, 0.753)
V (0.918, 0.918, 0.247)

Output
SG = R-3m, No. 166
Crystal system = trigonal
E above lowest polymorph = 398 meV/atom
Raw total energy = -37.3 eV/cell
Energy of formation from the pure elements = 575 meV per atom

=====

[6]
Entry from Alexandria via LeMat-Bulk: a relaxed UNb2V crystal (PBE-GGA).

Cell: 2.985 2.985 9.768 Å, 81.21 81.21 60.00°
Element x y z (fractional)
Nb (0.096, 0.096, 0.712)
Nb (0.904, 0.904, 0.288)
U (0.000, 0.000, 0.000)
V (0.500, 0.500, 0.500)

Output
SG = R-3m, No. 166
Crystal system = trigonal
E above lowest polymorph = 333 meV/atom
Raw total energy = -38.7 eV/cell
Energy of formation from the pure elements = 455 meV per atom

=====

[7]
Entry from Alexandria via LeMat-Bulk: a relaxed UNb2V crystal (PBE-GGA).

Cell: 3.268 4.690 4.690 Å, 90.00 90.00 90.00°
Element x y z (fractional)
Nb (0.000, 0.000, 0.500)
Nb (0.000, 0.500, 0.000)
U (0.500, 0.500, 0.500)
V (0.500, 0.000, 0.000)

Output
SG = P4/mmm, No. 123
Crystal system = tetragonal
E above lowest polymorph = 135 meV/atom
Raw total energy = -39.5 eV/cell
Energy of formation from the pure elements = 257 meV per atom

=====

[8]
Entry from Alexandria via LeMat-Bulk: a relaxed UNbVW crystal (PBE-GGA).

Cell: 4.623 4.623 4.623 Å, 60.00 60.00 60.00°
Element x y z (fractional)
Nb (0.000, 0.000, 0.000)
U (0.500, 0.500, 0.500)
W (0.250, 0.250, 0.250)
V (0.750, 0.750, 0.750)

Output
SG = F-43m, No. 216
Crystal system = cubic
Raw total energy = -42.5 eV/cell
Energy of formation from the pure elements = 227 meV per atom

=====

[9]
Entry from Alexandria via LeMat-Bulk: a relaxed UNbZn17 crystal (PBE-GGA).

Cell: 6.720 6.720 6.720 Å, 82.37 82.37 82.37°
Element x y z (fractional)
U (0.665, 0.665, 0.665)
Nb (0.322, 0.322, 0.322)
Zn (0.298, 0.006, 0.696)
Zn (0.696, 0.298, 0.006)
Zn (0.006, 0.696, 0.298)
Zn (0.298, 0.696, 0.006)
Zn (0.006, 0.298, 0.696)
Zn (0.696, 0.006, 0.298)
Zn (0.350, 0.866, 0.350)
Zn (0.350, 0.350, 0.866)
Zn (0.866, 0.350, 0.350)
Zn (0.632, 0.188, 0.632)
Zn (0.632, 0.632, 0.188)
Zn (0.188, 0.632, 0.632)
Zn (0.986, 0.514, 0.986)
Zn (0.986, 0.986, 0.514)
Zn (0.514, 0.986, 0.986)
Zn (0.905, 0.905, 0.905)
Zn (0.104, 0.104, 0.104)

Output
SG = R3m, No. 160
Crystal system = trigonal
Raw total energy = -42.9 eV/cell
Energy of formation from the pure elements = 7 meV per atom

=====

[10]
Entry from Alexandria via LeMat-Bulk: a relaxed ZrUNb crystal (PBE-GGA).

Cell: 7.836 7.575 3.035 Å, 83.53 73.84 22.63°
Element x y z (fractional)
Nb (0.006, 0.006, 0.994)
U (0.659, 0.659, 0.341)
Zr (0.335, 0.335, 0.665)

Output
SG = Fmm2, No. 42
Crystal system = orthorhombic
E above lowest polymorph = 0 meV/atom
Raw total energy = -29.5 eV/cell
Energy of formation from the pure elements = 149 meV per atom

=====

[11]
Entry from Alexandria via LeMat-Bulk: a relaxed ZrUNb crystal (PBE-GGA).

Cell: 5.445 5.445 5.653 Å, 105.52 105.52 116.39°
Element x y z (fractional)
Zr (0.667, 0.333, 0.000)
Zr (0.333, 0.667, 0.000)
Nb (0.832, 0.832, 0.663)
Nb (0.168, 0.168, 0.337)
U (0.750, 0.250, 0.500)
U (0.250, 0.750, 0.500)

Output
SG = Fmmm, No. 69
Crystal system = orthorhombic
E above lowest polymorph = 399 meV/atom
Raw total energy = -56.5 eV/cell
Energy of formation from the pure elements = 548 meV per atom

=====

[12]
Entry from Alexandria via LeMat-Bulk: a relaxed NbV3 crystal (PBE-GGA).

Cell: 2.693 4.336 5.148 Å, 90.00 100.31 90.00°
Element x y z (fractional)
Nb (0.500, 0.000, 0.000)
V (0.255, 0.500, 0.266)
V (0.745, 0.500, 0.734)
V (0.000, 0.000, 0.500)

Output
SG = P2/m, No. 10
Crystal system = monoclinic
Raw total energy = -37.2 eV/cell
Energy of formation from the pure elements = 53 meV per atom